Entry 1:
! GGA-PBE Pu2ZnPt, relaxed; values from VASP
&SYSTEM
  ibrav = 0, nat = 4, ntyp = 3
/
ATOMIC_SPECIES
Zn 65.41 Zn.upf
Pt 195.08 Pt.upf
Pu 244.00 Pu.upf
CELL_PARAMETERS angstrom
-3.677 0.556 0.763
-0.566 -3.754 0.007
1.188 -0.168 5.849
ATOMIC_POSITIONS angstrom
Zn -1.528 -1.683 3.310
Pt -2.122 -1.599 0.385
Pu 0.901 -0.127 4.433
Pu 0.288 -0.041 1.416
! Calculated density, kg/m³: 14442
! Calculated formation energy, eV/atom: -0.41


Entry 2:
! GGA-PBE PuZnPt2, relaxed; values from VASP
&SYSTEM
  ibrav = 0, nat = 4, ntyp = 3
/
ATOMIC_SPECIES
Zn 65.41 Zn.upf
Pt 195.08 Pt.upf
Pu 244.00 Pu.upf
CELL_PARAMETERS angstrom
-0.963 -2.823 -1.327
3.077 -0.633 -0.888
1.058 -3.130 5.892
ATOMIC_POSITIONS angstrom
Zn 1.057 -1.728 -1.107
Pt 0.835 -2.470 4.650
Pt 0.223 -0.660 1.242
Pu 1.585 -3.293 1.838
! Calculated density, kg/m³: 16139
! Calculated formation energy, eV/atom: -0.59


Entry 3:
! GGA-PBE PuZn11Pt, relaxed; values from VASP
&SYSTEM
  ibrav = 0, nat = 13, ntyp = 3
/
ATOMIC_SPECIES
Pu 244.00 Pu.upf
Zn 65.41 Zn.upf
Pt 195.08 Pt.upf
CELL_PARAMETERS angstrom
4.722 0.041 1.967
2.354 6.405 0.981
-0.099 0.020 6.890
ATOMIC_POSITIONS angstrom
Pu 0.000 0.000 0.000
Zn 1.818 1.388 2.257
Zn 5.160 5.078 7.582
Zn 4.195 5.058 3.247
Zn 2.783 1.408 6.591
Zn 3.167 4.163 5.818
Zn 3.810 2.303 4.021
Zn 5.438 2.323 6.764
Zn 1.539 4.142 3.074
Zn 1.177 3.202 0.490
Zn 2.311 0.030 4.429
Zn -0.050 0.010 3.445
Pt 3.538 3.223 1.474
! Calculated density, kg/m³: 9206
! Calculated formation energy, eV/atom: -0.20


Entry 4:
! GGA-PBE PuZrPt2, relaxed; values from VASP
&SYSTEM
  ibrav = 0, nat = 4, ntyp = 3
/
ATOMIC_SPECIES
Zr 91.22 Zr.upf
Pt 195.08 Pt.upf
Pu 244.00 Pu.upf
CELL_PARAMETERS angstrom
-2.982 0.463 -2.633
-3.718 -1.130 0.967
-3.413 5.696 1.821
ATOMIC_POSITIONS angstrom
Zr 0.000 0.000 0.000
Pt -7.607 3.885 0.162
Pt -2.506 1.145 -0.006
Pu -5.057 2.515 0.078
! Calculated density, kg/m³: 13372
! Calculated formation energy, eV/atom: -0.73


Entry 5:
! GGA-PBE PuZrPt2, relaxed; values from VASP
&SYSTEM
  ibrav = 0, nat = 4, ntyp = 3
/
ATOMIC_SPECIES
Zr 91.22 Zr.upf
Pt 195.08 Pt.upf
Pu 244.00 Pu.upf
CELL_PARAMETERS angstrom
2.958 0.000 0.000
0.000 5.187 0.000
0.000 0.000 5.187
ATOMIC_POSITIONS angstrom
Zr 1.479 2.594 2.594
Pt 0.000 0.000 2.594
Pt 0.000 2.594 0.000
Pu 1.479 0.000 0.000
! Calculated density, kg/m³: 15134
! Calculated formation energy, eV/atom: -0.80


Entry 6:
! GGA-PBE Pu2ZrPt, relaxed; values from VASP
&SYSTEM
  ibrav = 0, nat = 4, ntyp = 3
/
ATOMIC_SPECIES
Zr 91.22 Zr.upf
Pt 195.08 Pt.upf
Pu 244.00 Pu.upf
CELL_PARAMETERS angstrom
5.137 0.000 0.000
0.000 4.101 0.000
0.000 0.000 4.101
ATOMIC_POSITIONS angstrom
Zr 2.568 2.051 2.051
Pt 2.568 0.000 0.000
Pu 0.000 0.000 2.051
Pu 0.000 2.051 0.000
! Calculated density, kg/m³: 14882
! Calculated formation energy, eV/atom: -0.30


Entry 7:
! GGA-PBE PuZr2Pt, relaxed; values from VASP
&SYSTEM
  ibrav = 0, nat = 4, ntyp = 3
/
ATOMIC_SPECIES
Zr 91.22 Zr.upf
Pt 195.08 Pt.upf
Pu 244.00 Pu.upf
CELL_PARAMETERS angstrom
3.283 0.000 0.000
1.642 2.843 0.000
1.642 0.948 9.415
ATOMIC_POSITIONS angstrom
Zr 1.642 0.948 2.094
Zr 4.925 2.843 7.321
Pt 0.000 0.000 0.000
Pu 3.283 1.896 4.707
! ΔE to the lowest computed polymorph, eV/atom: 0.231
! Calculated density, kg/m³: 11742
! Calculated formation energy, eV/atom: -0.20


Entry 8:
! GGA-PBE PuZr2Pt, relaxed; values from VASP
&SYSTEM
  ibrav = 0, nat = 4, ntyp = 3
/
ATOMIC_SPECIES
Zr 91.22 Zr.upf
Pt 195.08 Pt.upf
Pu 244.00 Pu.upf
CELL_PARAMETERS angstrom
-0.257 -0.515 -3.151
-1.656 -4.659 0.896
-4.727 1.701 0.108
ATOMIC_POSITIONS angstrom
Zr -2.364 0.851 0.054
Zr -0.828 -2.329 0.448
Pt -0.129 -0.257 -1.576
Pu -3.320 -1.736 -1.073
! ΔE to the lowest computed polymorph, eV/atom: 0.041
! Calculated density, kg/m³: 12760
! Calculated formation energy, eV/atom: -0.39


Entry 9:
! GGA-PBE PuZrPt2, relaxed; values from VASP
&SYSTEM
  ibrav = 0, nat = 4, ntyp = 3
/
ATOMIC_SPECIES
Zr 91.22 Zr.upf
Pt 195.08 Pt.upf
Pu 244.00 Pu.upf
CELL_PARAMETERS angstrom
3.363 0.000 0.000
0.000 3.363 0.000
0.000 0.000 7.242
ATOMIC_POSITIONS angstrom
Zr 1.681 1.681 0.000
Pt 0.000 0.000 5.696
Pt 0.000 0.000 1.545
Pu 1.681 1.681 3.621
! Calculated density, kg/m³: 14708
! Calculated formation energy, eV/atom: -0.85


Entry 10:
! GGA-PBE PuZr2Pt, relaxed; values from VASP
&SYSTEM
  ibrav = 0, nat = 4, ntyp = 3
/
ATOMIC_SPECIES
Zr 91.22 Zr.upf
Pt 195.08 Pt.upf
Pu 244.00 Pu.upf
CELL_PARAMETERS angstrom
4.867 0.000 0.000
2.433 4.215 0.000
2.433 1.405 3.974
ATOMIC_POSITIONS angstrom
Zr 2.433 1.405 0.993
Zr 7.300 4.215 2.980
Pt 0.000 0.000 0.000
Pu 4.867 2.810 1.987
! ΔE to the lowest computed polymorph, eV/atom: 0.175
! Calculated density, kg/m³: 12660
! Calculated formation energy, eV/atom: -0.26


Entry 11:
! GGA-PBE PuZrPt2, relaxed; values from VASP
&SYSTEM
  ibrav = 0, nat = 8, ntyp = 3
/
ATOMIC_SPECIES
Pu 244.00 Pu.upf
Zr 91.22 Zr.upf
Pt 195.08 Pt.upf
CELL_PARAMETERS angstrom
4.446 0.000 0.000
0.000 5.345 -1.735
0.000 -0.483 7.195
ATOMIC_POSITIONS angstrom
Pu 1.112 0.991 0.899
Pu 3.335 3.871 4.561
Zr 3.335 3.982 1.036
Zr 1.112 0.880 4.424
Pt 1.112 3.512 -0.663
Pt 3.335 1.350 6.123
Pt 3.335 1.436 2.820
Pt 1.112 3.426 2.639
! Calculated density, kg/m³: 14403
! Calculated formation energy, eV/atom: -0.90


Entry 12:
! GGA-PBE PuZr2Pt9, relaxed; values from VASP
&SYSTEM
  ibrav = 0, nat = 12, ntyp = 3
/
ATOMIC_SPECIES
Pu 244.00 Pu.upf
Zr 91.22 Zr.upf
Pt 195.08 Pt.upf
CELL_PARAMETERS angstrom
4.082 0.000 0.000
0.000 4.082 0.000
0.000 0.000 12.311
ATOMIC_POSITIONS angstrom
Pu 0.000 0.000 0.000
Zr 0.000 0.000 4.126
Zr 0.000 0.000 8.185
Pt 2.041 2.041 0.000
Pt 2.041 2.041 4.163
Pt 2.041 2.041 8.148
Pt 2.041 0.000 2.164
Pt 2.041 0.000 6.156
Pt 2.041 0.000 10.147
Pt 0.000 2.041 2.164
Pt 0.000 2.041 6.156
Pt 0.000 2.041 10.147
! Calculated density, kg/m³: 17660
! Calculated formation energy, eV/atom: -0.92


- calculated density of number 3 (PuZn11Pt)?
  9206 kg/m³